Crystalline ErGeIr3 at its relaxed geometry, computed with GGA-PBE.

## Properties
Formation energy: -2.34 eV per formula unit
Space group: Imma, No. 74
Total energy: -7.621 eV/atom
Size of the total moment: 0.000 μB per formula unit

Cell lengths 6.351, 6.351, 6.351 Å; angles 129.14, 107.47, 93.93 degrees
Element x y z (fractional)
Er: 0.263 0.013 0.250
Er: 0.737 0.987 0.750
Ge: 0.000 0.500 0.500
Ge: 0.500 0.500 0.000
Ir: 0.059 0.309 0.750
Ir: 0.300 0.000 0.800
Ir: 0.300 0.500 0.300
Ir: 0.700 0.000 0.200
Ir: 0.700 0.500 0.700
Ir: 0.941 0.691 0.250